# 1
The following is a DFT calculation (PBE) of a relaxed structure of CsCa3Pd.

Structure (CIF):
```
data_CsCa3Pd
_space_group_name_H-M_alt 'P 1'
_space_group_IT_number 1
_cell_length_a 5.897
_cell_length_b 5.897
_cell_length_c 5.897
_cell_angle_alpha 90.00
_cell_angle_beta 90.00
_cell_angle_gamma 90.00
loop_
_space_group_symop_operation_xyz
'x,y,z'
loop_
_atom_site_label
_atom_site_type_symbol
_atom_site_fract_x
_atom_site_fract_y
_atom_site_fract_z
_atom_site_occupancy
Cs1 Cs 0.500 0.500 0.500 1
Ca1 Ca 0.000 0.500 0.000 1
Ca2 Ca 0.000 0.000 0.500 1
Ca3 Ca 0.500 0.000 0.000 1
Pd1 Pd 0.000 0.000 0.000 1
```

Output
space group = Pm-3m
size of the total moment = 0.00 μB per formula unit
theoretical density = 2.91 g cm⁻³
energy of formation from the pure elements = -189 meV/atom


# 2
The following is a DFT calculation (PBE) of a relaxed structure of CsCaPd2.

Structure (CIF):
```
data_CsCaPd2
_space_group_name_H-M_alt 'P 1'
_space_group_IT_number 1
_cell_length_a 5.611
_cell_length_b 5.611
_cell_length_c 10.115
_cell_angle_alpha 73.90
_cell_angle_beta 73.90
_cell_angle_gamma 90.00
loop_
_space_group_symop_operation_xyz
'x,y,z'
loop_
_atom_site_label
_atom_site_type_symbol
_atom_site_fract_x
_atom_site_fract_y
_atom_site_fract_z
_atom_site_occupancy
Cs1 Cs 0.000 0.000 0.000 1
Cs2 Cs 0.750 0.250 0.500 1
Ca1 Ca 0.500 0.500 0.000 1
Ca2 Ca 0.250 0.750 0.500 1
Pd1 Pd 0.374 0.125 0.250 1
Pd2 Pd 0.376 0.625 0.250 1
Pd3 Pd 0.375 0.626 0.750 1
Pd4 Pd 0.875 0.624 0.750 1
```

Output
space group = I-42d
size of the total moment = 0.00 μB per formula unit
theoretical density = 4.37 g cm⁻³
energy of formation from the pure elements = -17 meV/atom